The following is a PBE calculation of an optimized crystal structure of Y2HoTeO8, from Alexandria.

As for the total magnetization: 0.063 μB/atom. The calculation puts the uncorrected formation energy at -2503 meV/atom. Its total energy is -0.2767 hartree per atom.

It has space group P2/m (No. 10), with a = 5.041 Å, b = 6.860 Å, c = 5.043 Å, α = 90.00°, β = 91.00° and γ = 90.00°. The asymmetric unit holds Y at (0.000, 0.249, 0.000), Ho at (0.500, 0.500, 0.500), Te at (0.500, 0.000, 0.500), O at (0.192, 0.500, 0.193), O at (0.224, 0.000, 0.226) and O at (0.319, 0.213, 0.682).

=====

The following is a PBE calculation of an optimized crystal structure of Nd2Sm7Dy2, from Alexandria.

As for the total magnetization: 0.000 μB/atom. Its total energy is -0.1692 hartree per atom. Its formation energy is 107 kJ/mol of formula units.

It has space group C2/m (No. 12), with a = 7.005 Å, b = 10.613 Å, c = 10.069 Å, α = 90.00°, β = 93.03° and γ = 90.00°. The asymmetric unit holds Nd at (0.206, 0.000, 0.288), Sm at (0.000, 0.500, 0.000), Sm at (0.125, 0.205, 0.853), Sm at (0.186, 0.500, 0.364) and Dy at (0.000, 0.228, 0.500).

=====

The following is a PBE calculation of an optimized crystal structure of Ac2OsPd, from Alexandria.

As for the total magnetization: 0.000 μB/atom. Its total energy is -0.2341 hartree per atom. Its formation energy is -81 kJ/mol of formula units.

It has space group P4/mmm (No. 123), with a = 3.690 Å, b = 3.690 Å, c = 7.711 Å, α = 90.00°, β = 90.00° and γ = 90.00°. The asymmetric unit holds Ac at (0.000, 0.000, 0.240), Os at (0.500, 0.500, 0.000) and Pd at (0.500, 0.500, 0.500).

=====

The following is a PBE calculation of an optimized crystal structure of ScNbIr2, from Alexandria.

As for the total magnetization: 0.000 μB/atom. Its total energy is -0.3390 hartree per atom. Its formation energy is -267 kJ/mol of formula units.

It has space group P4/mmm (No. 123), with a = 3.009 Å, b = 3.009 Å, c = 7.293 Å, α = 90.00°, β = 90.00° and γ = 90.00°. The asymmetric unit holds Sc at (0.000, 0.000, 0.000), Nb at (0.000, 0.000, 0.500) and Ir at (0.500, 0.500, 0.249).